Nb3S5 PBEsol optimized geometry; E_form (uncorrected) = -1.206 eV per atom; M_tot = 0.00 μB/atom; SG = No. 1; final energy = -8.00 eV per atom
1.0
5.7844 0.0000 0.0000
-1.9168 6.7692 0.0000
-0.9816 -2.7211 7.2446
Nb S
6 10
direct
0.0000 0.0000 0.0000
0.0756 0.3161 0.7784
0.1997 0.3922 0.4011
0.4061 0.7890 0.7976
0.5988 0.1926 0.1918
0.8058 0.5882 0.5961
0.0351 0.6515 0.9160
0.1065 0.9498 0.6883
0.2328 0.0356 0.2996
0.3059 0.3597 0.0943
0.4584 0.4327 0.7034
0.5037 0.7492 0.4928
0.6341 0.8372 0.1028
0.6997 0.1540 0.8873
0.8156 0.2156 0.4847
0.9062 0.5531 0.2929